VASP calculation (PBE-GGA) on Sc2ZnPb after structural relaxation.

Geometry as extended XYZ:
```
4
Lattice="-1.565 -4.432 1.883 -4.857 -1.362 -0.434 -1.305 -3.761 -3.129" Properties=species:S:1:pos:R:3 pbc="T T T"
Zn -1.932 -2.389 -0.420
Sc -3.864 -4.777 -0.840
Sc -5.795 -7.166 -1.260
Pb 0.000 0.000 0.000
```

Properties
The calculation puts the final energy at -4.2854 eV per atom.